# VBiAs2O

A relaxed structure of VBiAs2O (PBE+U, the Alexandria database).

a = 4.5618 Å, b = 5.4106 Å, c = 4.5618 Å
α = 90.00°, β = 90.00°, γ = 90.00°
With the nearest neighbours (Å) after each atom.
Fractional coordinates of all 5 atoms:
As: 0.5000 0.0000 0.0000  2 V 2.28
As: 0.0000 0.0000 0.5000  2 V 2.28
V: 0.0000 0.0000 0.0000  4 As 2.28
Bi: 0.0000 0.5000 0.0000  2 V 2.71
O: 0.5000 0.5000 0.5000  4 Bi 3.23, 8 As 3.54

Summary:
The total energy comes out at -4.364 eV/atom.